## TiSi2Sn (PBE-GGA)

Data for a relaxed TiSi2Sn crystal.

Structure (POSCAR):
```
TiSi2Sn
1.0
6.014 0.000 0.000
0.000 6.014 0.000
3.007 3.007 5.871
Si Sn Ti
4 2 2
Direct
0.611 0.125 0.250
0.139 0.625 0.250
0.375 0.389 0.750
0.875 0.861 0.750
0.000 0.000 0.000
0.750 0.250 0.500
0.500 0.500 0.000
0.250 0.750 0.500
```

Calculated values
E_form (uncorrected): 0.46 eV/atom

***

## La3Sm2DyAs6 (PBE-GGA)

Data for a relaxed La3Sm2DyAs6 crystal.

Structure (POSCAR):
```
La3Sm2DyAs6
1.0
7.414 -0.001 0.001
-3.706 6.421 0.001
-1.236 -2.141 6.987
La Sm Dy As
3 2 1 6
Direct
0.167 0.833 0.500
0.833 0.167 0.500
0.500 0.500 0.500
0.334 0.666 0.000
0.666 0.334 0.000
0.000 0.000 0.000
0.920 0.590 0.760
0.750 0.750 0.241
0.080 0.410 0.240
0.590 0.920 0.760
0.250 0.250 0.759
0.410 0.080 0.240
```

Calculated values
calculated formation energy: -18.552 eV/f.u.

***

## CaNdSb2 (PBE-GGA)

Data for a relaxed CaNdSb2 crystal.

Structure (POSCAR):
```
CaNdSb2
1.0
-1.679 2.994 -0.119
-4.970 -2.736 1.309
1.046 0.812 5.670
Sb Ca Nd
2 1 1
Direct
0.000 0.000 0.500
0.000 0.500 0.000
0.500 0.500 0.500
0.500 0.000 0.000
```

Calculated values
E above lowest polymorph: 63 meV/atom
E_form (uncorrected): -0.88 eV/atom

***

## MgGa2SiN4 (PBE-GGA)

Data for a relaxed MgGa2SiN4 crystal.

Structure (POSCAR):
```
MgGa2SiN4
1.0
4.577 0.190 0.000
-0.190 4.577 0.000
-2.193 -2.384 4.289
Mg Ga Si N
1 2 1 4
Direct
0.000 0.000 0.000
0.750 0.250 0.500
0.250 0.750 0.500
0.500 0.500 0.000
0.601 0.601 0.759
0.400 0.841 0.241
0.841 0.400 0.241
0.159 0.159 0.759
```

Calculated values
E_form (uncorrected): -0.80 eV/atom

***

| no. | total magnetic moment (μB/f.u.) |
| --- | --- |
| 1 | 0.000 |
| 2 | 0.000 |
| 3 | 0.000 |
| 4 | 0.000 |